No. 1
# SrMg4Hg6, optimized geometry, DFT PBE-GGA
# Final energy = -0.078 Ry/atom
data_SrMg4Hg6
_cell_length_a 7.492
_cell_length_b 7.492
_cell_length_c 10.463
_cell_angle_alpha 90.00
_cell_angle_beta 90.00
_cell_angle_gamma 90.00
_space_group_name_H-M_alt 'I -4 2 m'
_space_group_IT_number 121
_space_group_name_Hall 'I -4 2'
loop_
_atom_site_label
_atom_site_fract_x
_atom_site_fract_y
_atom_site_fract_z
_atom_site_occupancy
Sr1 0.000 0.000 0.000 1
Mg1 0.155 0.155 0.597 1
Hg1 0.000 0.500 0.000 1
Hg2 0.215 0.215 0.321 1

=====

No. 2
# SrMgHg14, optimized geometry, DFT PBE-GGA
# Final energy = -0.043 Ry/atom
data_SrMgHg14
_cell_length_a 7.398
_cell_length_b 10.707
_cell_length_c 10.710
_cell_angle_alpha 90.00
_cell_angle_beta 90.00
_cell_angle_gamma 90.00
_space_group_name_H-M_alt 'A m m 2'
_space_group_IT_number 38
_space_group_name_Hall 'A 2 -2'
loop_
_atom_site_label
_atom_site_fract_x
_atom_site_fract_y
_atom_site_fract_z
_atom_site_occupancy
Sr1 0.000 0.000 0.000 1
Mg1 0.000 0.000 0.502 1
Hg1 0.000 0.250 0.250 1
Hg2 0.253 0.000 0.262 1
Hg3 0.254 0.000 0.739 1
Hg4 0.254 0.238 0.500 1
Hg5 0.500 0.000 0.000 1
Hg6 0.500 0.000 0.500 1
Hg7 0.500 0.250 0.250 1

=====

No. 3
# Sr6Mg5Hg, optimized geometry, DFT PBE-GGA
# Final energy = -0.122 Ry/atom
data_Sr6Mg5Hg
_cell_length_a 5.871
_cell_length_b 8.279
_cell_length_c 9.271
_cell_angle_alpha 90.00
_cell_angle_beta 108.34
_cell_angle_gamma 90.00
_space_group_name_H-M_alt 'P 1 2/m 1'
_space_group_IT_number 10
_space_group_name_Hall '-P 2y'
loop_
_atom_site_label
_atom_site_fract_x
_atom_site_fract_y
_atom_site_fract_z
_atom_site_occupancy
Sr1 0.000 0.241 0.000 1
Sr2 0.338 0.246 0.676 1
Mg1 0.169 0.500 0.336 1
Mg2 0.174 0.000 0.349 1
Mg3 0.500 0.500 0.000 1
Hg1 0.500 0.000 0.000 1

=====

No. 4
# SrMgHg11, optimized geometry, DFT PBE-GGA
# Final energy = -0.046 Ry/atom
data_SrMgHg11
_cell_length_a 6.074
_cell_length_b 15.241
_cell_length_c 7.842
_cell_angle_alpha 90.00
_cell_angle_beta 109.14
_cell_angle_gamma 90.00
_space_group_name_H-M_alt 'C 1 2/m 1'
_space_group_IT_number 12
_space_group_name_Hall '-C 2y'
loop_
_atom_site_label
_atom_site_fract_x
_atom_site_fract_y
_atom_site_fract_z
_atom_site_occupancy
Sr1 0.000 0.000 0.000 1
Mg1 0.000 0.500 0.500 1
Hg1 0.000 0.000 0.500 1
Hg2 0.091 0.398 0.210 1
Hg3 0.188 0.173 0.364 1
Hg4 0.250 0.250 0.000 1

=====

No. 5
# SrMgHg, optimized geometry, DFT PBE-GGA
# Final energy = -0.078 Ry/atom
data_SrMgHg
_cell_length_a 7.709
_cell_length_b 7.709
_cell_length_c 7.709
_cell_angle_alpha 90.00
_cell_angle_beta 90.00
_cell_angle_gamma 90.00
_space_group_name_H-M_alt 'F -4 3 m'
_space_group_IT_number 216
_space_group_name_Hall 'F -4 2 3'
loop_
_atom_site_label
_atom_site_fract_x
_atom_site_fract_y
_atom_site_fract_z
_atom_site_occupancy
Sr1 0.000 0.000 0.000 1
Mg1 0.250 0.250 0.250 1
Hg1 0.250 0.250 0.750 1

=====

No. 6
# SrMgHg, optimized geometry, DFT PBE-GGA
# Final energy = -0.117 Ry/atom
data_SrMgHg
_cell_length_a 4.677
_cell_length_b 4.677
_cell_length_c 8.201
_cell_angle_alpha 90.00
_cell_angle_beta 90.00
_cell_angle_gamma 90.00
_space_group_name_H-M_alt 'P 4/n m m'
_space_group_IT_number 129
loop_
_space_group_symop_operation_xyz
'x,y,z'
'-x,-y,-z'
'-y+1/2,x,z'
'y+1/2,-x,-z'
'-x+1/2,-y+1/2,z'
'x+1/2,y+1/2,-z'
'y,-x+1/2,z'
'-y,x+1/2,-z'
'x+1/2,-y,-z'
'-x+1/2,y,z'
'-y,-x,-z'
'y,x,z'
'-x,y+1/2,-z'
'x,-y+1/2,z'
'y+1/2,x+1/2,-z'
'-y+1/2,-x+1/2,z'
loop_
_atom_site_label
_atom_site_fract_x
_atom_site_fract_y
_atom_site_fract_z
_atom_site_occupancy
Sr1 0.250 0.250 0.155 1
Mg1 0.250 0.750 0.500 1
Hg1 0.250 0.250 0.728 1

=====

No. 7
# SrMg4Hg12, optimized geometry, DFT PBE-GGA
# Final energy = -0.056 Ry/atom
data_SrMg4Hg12
_cell_length_a 9.882
_cell_length_b 9.882
_cell_length_c 9.882
_cell_angle_alpha 90.00
_cell_angle_beta 90.00
_cell_angle_gamma 90.00
_space_group_name_H-M_alt 'I m -3'
_space_group_IT_number 204
_space_group_name_Hall '-I 2 2 3'
loop_
_atom_site_label
_atom_site_fract_x
_atom_site_fract_y
_atom_site_fract_z
_atom_site_occupancy
Sr1 0.000 0.000 0.000 1
Mg1 0.250 0.250 0.250 1
Hg1 0.000 0.153 0.349 1

=====

No. 8
# SrMg5Hg2, optimized geometry, DFT PBE-GGA
# Final energy = -0.112 Ry/atom
data_SrMg5Hg2
_cell_length_a 4.450
_cell_length_b 8.582
_cell_length_c 10.803
_cell_angle_alpha 90.00
_cell_angle_beta 90.00
_cell_angle_gamma 90.00
_space_group_name_H-M_alt 'I m m m'
_space_group_IT_number 71
_space_group_name_Hall '-I 2 2'
loop_
_atom_site_label
_atom_site_fract_x
_atom_site_fract_y
_atom_site_fract_z
_atom_site_occupancy
Sr1 0.000 0.000 0.000 1
Mg1 0.000 0.185 0.347 1
Mg2 0.000 0.500 0.000 1
Hg1 0.000 0.500 0.263 1

=====

No. 9
# SrMg3Hg, optimized geometry, DFT PBE-GGA
# Final energy = -0.107 Ry/atom
# Polymorph energy (0 for the lowest one) = 98.9 meV per atom
data_SrMg3Hg
_cell_length_a 7.1928
_cell_length_b 7.1928
_cell_length_c 6.3391
_cell_angle_alpha 90.00
_cell_angle_beta 90.00
_cell_angle_gamma 120.00
_space_group_name_H-M_alt 'P 63/m m c'
_space_group_IT_number 194
_space_group_name_Hall '-P 6c 2c'
loop_
_atom_site_label
_atom_site_fract_x
_atom_site_fract_y
_atom_site_fract_z
_atom_site_occupancy
Sr1 0.3333 0.6667 0.2500 1
Mg1 0.1894 0.3787 0.7500 1
Hg1 0.0000 0.0000 0.0000 1

=====

No. 10
# SrMg6Hg3, optimized geometry, DFT PBE-GGA
# Final energy = -0.106 Ry/atom
data_SrMg6Hg3
_cell_length_a 9.275
_cell_length_b 4.772
_cell_length_c 11.140
_cell_angle_alpha 90.00
_cell_angle_beta 95.10
_cell_angle_gamma 90.00
_space_group_name_H-M_alt 'P 1 21/m 1'
_space_group_IT_number 11
_space_group_name_Hall '-P 2yb'
loop_
_atom_site_label
_atom_site_fract_x
_atom_site_fract_y
_atom_site_fract_z
_atom_site_occupancy
Sr1 0.085 0.250 0.250 1
Mg1 0.111 0.250 0.597 1
Mg2 0.214 0.750 0.024 1
Mg3 0.311 0.750 0.727 1
Mg4 0.391 0.750 0.293 1
Mg5 0.396 0.250 0.471 1
Mg6 0.422 0.250 0.909 1
Hg1 0.110 0.250 0.880 1
Hg2 0.200 0.750 0.477 1
Hg3 0.406 0.250 0.155 1

=====

No. 11
# SrMg4Hg5, optimized geometry, DFT PBE-GGA
# Final energy = -0.091 Ry/atom
data_SrMg4Hg5
_cell_length_a 3.648
_cell_length_b 3.648
_cell_length_c 17.530
_cell_angle_alpha 90.00
_cell_angle_beta 90.00
_cell_angle_gamma 90.00
_space_group_name_H-M_alt 'P 4/m m m'
_space_group_IT_number 123
_space_group_name_Hall '-P 4 2'
loop_
_atom_site_label
_atom_site_fract_x
_atom_site_fract_y
_atom_site_fract_z
_atom_site_occupancy
Sr1 0.000 0.000 0.000 1
Mg1 0.000 0.000 0.219 1
Mg2 0.000 0.000 0.406 1
Hg1 0.500 0.500 0.125 1
Hg2 0.500 0.500 0.312 1
Hg3 0.500 0.500 0.500 1

=====

No. 12
# Sr5MgHg6, optimized geometry, DFT PBE-GGA
# Final energy = -0.107 Ry/atom
data_Sr5MgHg6
_cell_length_a 9.650
_cell_length_b 16.667
_cell_length_c 5.562
_cell_angle_alpha 90.00
_cell_angle_beta 125.16
_cell_angle_gamma 90.00
_space_group_name_H-M_alt 'C 1 2/m 1'
_space_group_IT_number 12
_space_group_name_Hall '-C 2y'
loop_
_atom_site_label
_atom_site_fract_x
_atom_site_fract_y
_atom_site_fract_z
_atom_site_occupancy
Sr1 0.000 0.000 0.000 1
Sr2 0.000 0.168 0.500 1
Sr3 0.000 0.335 0.000 1
Mg1 0.000 0.500 0.500 1
Hg1 0.241 0.339 0.740 1
Hg2 0.243 0.500 0.245 1

=====

No. 13
# Sr2MgHg2, optimized geometry, DFT PBE-GGA
# Final energy = -0.101 Ry/atom
# Polymorph energy (0 for the lowest one) = 166.6 meV per atom
data_Sr2MgHg2
_cell_length_a 6.414
_cell_length_b 6.414
_cell_length_c 8.566
_cell_angle_alpha 90.00
_cell_angle_beta 90.00
_cell_angle_gamma 90.00
_space_group_name_H-M_alt 'I 4/m m m'
_space_group_IT_number 139
_space_group_name_Hall '-I 4 2'
loop_
_atom_site_label
_atom_site_fract_x
_atom_site_fract_y
_atom_site_fract_z
_atom_site_occupancy
Sr1 0.000 0.500 0.250 1
Mg1 0.000 0.000 0.000 1
Hg1 0.000 0.000 0.336 1

=====

No. 14
# SrMgHg, optimized geometry, DFT PBE-GGA
# Final energy = -0.104 Ry/atom
data_SrMgHg
_cell_length_a 7.412
_cell_length_b 7.412
_cell_length_c 7.412
_cell_angle_alpha 90.00
_cell_angle_beta 90.00
_cell_angle_gamma 90.00
_space_group_name_H-M_alt 'F -4 3 m'
_space_group_IT_number 216
_space_group_name_Hall 'F -4 2 3'
loop_
_atom_site_label
_atom_site_fract_x
_atom_site_fract_y
_atom_site_fract_z
_atom_site_occupancy
Sr1 0.000 0.000 0.000 1
Mg1 0.000 0.000 0.500 1
Hg1 0.250 0.250 0.250 1

=====

No. 15
# Sr2Mg3Hg, optimized geometry, DFT PBE-GGA
# Final energy = -0.120 Ry/atom
data_Sr2Mg3Hg
_cell_length_a 10.953
_cell_length_b 6.301
_cell_length_c 6.301
_cell_angle_alpha 90.00
_cell_angle_beta 124.76
_cell_angle_gamma 90.00
_space_group_name_H-M_alt 'C 1 2/m 1'
_space_group_IT_number 12
_space_group_name_Hall '-C 2y'
loop_
_atom_site_label
_atom_site_fract_x
_atom_site_fract_y
_atom_site_fract_z
_atom_site_occupancy
Sr1 0.126 0.000 0.378 1
Mg1 0.000 0.500 0.000 1
Mg2 0.250 0.250 0.000 1
Hg1 0.000 0.500 0.500 1

=====

No. 16
# SrMg7Hg12, optimized geometry, DFT PBE-GGA
# Final energy = -0.062 Ry/atom
data_SrMg7Hg12
_cell_length_a 10.521
_cell_length_b 10.521
_cell_length_c 10.521
_cell_angle_alpha 90.00
_cell_angle_beta 90.00
_cell_angle_gamma 90.00
_space_group_name_H-M_alt 'I m -3'
_space_group_IT_number 204
_space_group_name_Hall '-I 2 2 3'
loop_
_atom_site_label
_atom_site_fract_x
_atom_site_fract_y
_atom_site_fract_z
_atom_site_occupancy
Sr1 0.000 0.000 0.000 1
Mg1 0.000 0.000 0.500 1
Mg2 0.250 0.250 0.250 1
Hg1 0.000 0.290 0.167 1

=====

No. 17
# SrMg3Hg, optimized geometry, DFT PBE-GGA
# Final energy = -0.101 Ry/atom
# Polymorph energy (0 for the lowest one) = 173.0 meV per atom
data_SrMg3Hg
_cell_length_a 5.355
_cell_length_b 5.355
_cell_length_c 5.355
_cell_angle_alpha 90.00
_cell_angle_beta 90.00
_cell_angle_gamma 90.00
_space_group_name_H-M_alt 'P m -3 m'
_space_group_IT_number 221
_space_group_name_Hall '-P 4 2 3'
loop_
_atom_site_label
_atom_site_fract_x
_atom_site_fract_y
_atom_site_fract_z
_atom_site_occupancy
Sr1 0.000 0.000 0.000 1
Mg1 0.000 0.500 0.500 1
Hg1 0.500 0.500 0.500 1

=====

No. 18
# Sr3MgHg3, optimized geometry, DFT PBE-GGA
# Final energy = -0.112 Ry/atom
data_Sr3MgHg3
_cell_length_a 12.942
_cell_length_b 4.669
_cell_length_c 16.291
_cell_angle_alpha 90.00
_cell_angle_beta 110.69
_cell_angle_gamma 90.00
_space_group_name_H-M_alt 'C 1 2/m 1'
_space_group_IT_number 12
_space_group_name_Hall '-C 2y'
loop_
_atom_site_label
_atom_site_fract_x
_atom_site_fract_y
_atom_site_fract_z
_atom_site_occupancy
Sr1 0.013 0.000 0.380 1
Sr2 0.109 0.000 0.920 1
Sr3 0.239 0.000 0.231 1
Mg1 0.236 0.500 0.413 1
Hg1 0.032 0.500 0.238 1
Hg2 0.117 0.500 0.076 1
Hg3 0.129 0.500 0.547 1

=====

No. 19
# Sr4MgHg2, optimized geometry, DFT PBE-GGA
# Final energy = -0.112 Ry/atom
data_Sr4MgHg2
_cell_length_a 8.033
_cell_length_b 8.033
_cell_length_c 8.254
_cell_angle_alpha 90.00
_cell_angle_beta 90.00
_cell_angle_gamma 90.00
_space_group_name_H-M_alt 'I 4/m m m'
_space_group_IT_number 139
_space_group_name_Hall '-I 4 2'
loop_
_atom_site_label
_atom_site_fract_x
_atom_site_fract_y
_atom_site_fract_z
_atom_site_occupancy
Sr1 0.250 0.250 0.250 1
Mg1 0.000 0.000 0.000 1
Hg1 0.000 0.500 0.000 1

=====

No. 20
# SrTbMgHg, optimized geometry, DFT PBE-GGA
# Final energy = -0.171 Ry/atom
# Polymorph energy (0 for the lowest one) = 0.0 meV per atom
data_SrTbMgHg
_cell_length_a 3.920
_cell_length_b 3.920
_cell_length_c 7.862
_cell_angle_alpha 90.00
_cell_angle_beta 90.00
_cell_angle_gamma 90.00
_space_group_name_H-M_alt 'P 4 m m'
_space_group_IT_number 99
_space_group_name_Hall 'P 4 -2'
loop_
_atom_site_label
_atom_site_fract_x
_atom_site_fract_y
_atom_site_fract_z
_atom_site_occupancy
Sr1 0.000 0.000 0.000 1
Tb1 0.000 0.000 0.476 1
Mg1 0.500 0.500 0.709 1
Hg1 0.500 0.500 0.276 1

=====

Number 1: DOS(E_F) 14.1 states/eV/cell, formation energy from the elements -0.168 eV per atom. Number 2: DOS(E_F) 8.6 states/eV/cell, formation energy from the elements -0.115 eV per atom. Number 3: DOS(E_F) 10.2 states/eV/cell, formation energy from the elements -0.135 eV per atom. Number 4: DOS(E_F) 10.1 states/eV/cell, formation energy from the elements -0.117 eV per atom. Number 5: DOS(E_F) 9.5 states/eV/cell, formation energy from the elements 0.126 eV per atom. Number 6: DOS(E_F) 4.2 states/eV/cell, formation energy from the elements -0.401 eV per atom. Number 7: DOS(E_F) 14.4 states/eV/cell, formation energy from the elements -0.076 eV per atom. Number 8: DOS(E_F) 8.2 states/eV/cell, formation energy from the elements -0.238 eV per atom. Number 9: DOS(E_F) 4.9 states/eV/cell, formation energy from the elements -0.099 eV per atom. Number 10: DOS(E_F) 7.1 states/eV/cell, formation energy from the elements -0.220 eV per atom. Number 11: DOS(E_F) 3.1 states/eV/cell, formation energy from the elements -0.286 eV per atom. Number 12: DOS(E_F) 16.8 states/eV/cell, formation energy from the elements -0.468 eV per atom. Number 13: DOS(E_F) 5.5 states/eV/cell, formation energy from the elements -0.256 eV per atom. Number 14: DOS(E_F) 7.2 states/eV/cell, formation energy from the elements -0.228 eV per atom. Number 15: DOS(E_F) 9.3 states/eV/cell, formation energy from the elements -0.219 eV per atom. Number 16: DOS(E_F) 19.3 states/eV/cell, formation energy from the elements -0.022 eV per atom. Number 17: DOS(E_F) 3.1 states/eV/cell, formation energy from the elements -0.024 eV per atom. Number 18: DOS(E_F) 21.6 states/eV/cell, formation energy from the elements -0.441 eV per atom. Number 19: DOS(E_F) 17.2 states/eV/cell, formation energy from the elements -0.254 eV per atom. Number 20: DOS(E_F) 3.8 states/eV/cell, formation energy from the elements -0.278 eV per atom.